DFT (PBE) results for a geometry-optimized MnRh structure.

## Properties
Total moment ... 7.192 μB per cell
Total energy ... -7.50 eV per atom
Formation energy from the elements ... 0.765 eV/atom
Mass density ... 7.0 g/cm³

Cell lengths 4.1704, 4.1704, 4.9860 Å; angles 90.00, 90.00, 120.00 degrees
Last column: nearest neighbours and their distance in Å.
Atoms (fractional coordinates):
1 Rh 0.3333 0.6667 0.7500  5 Mn 2.41-2.49
2 Mn 0.3333 0.6667 0.2500  5 Rh 2.41-2.49
3 Mn 0.6667 0.3333 0.7500  5 Rh 2.41-2.49
4 Rh 0.6667 0.3333 0.2500  5 Mn 2.41-2.49

=====

DFT (PBE) results for a geometry-optimized MnRh structure.

## Properties
Total moment ... 7.568 μB per cell
Total energy ... -8.10 eV per atom
Formation energy from the elements ... 0.165 eV/atom
Mass density ... 9.3 g/cm³

Cell lengths 4.3064, 4.3064, 4.3064 Å; angles 60.00, 60.00, 60.00 degrees
Last column: nearest neighbours and their distance in Å.
Atoms (fractional coordinates):
1 Rh 0.3750 0.3750 0.3750  4 Mn 2.64, 4 Rh 2.64
2 Rh 0.6250 0.6250 0.6250  4 Mn 2.64, 4 Rh 2.64
3 Mn 0.8750 0.8750 0.8750  4 Rh 2.64, 4 Mn 2.64
4 Mn 0.1250 0.1250 0.1250  4 Rh 2.64, 4 Mn 2.64

=====

DFT (PBE) results for a geometry-optimized Mn2Rh structure.

## Properties
Total moment ... 8.781 μB per cell
Total energy ... -8.13 eV per atom
Formation energy from the elements ... 0.430 eV/atom
Mass density ... 6.6 g/cm³

Cell lengths 4.2296, 4.2296, 4.2296 Å; angles 60.00, 60.00, 60.00 degrees
Last column: nearest neighbours and their distance in Å.
Atoms (fractional coordinates):
1 Mn 0.7500 0.7500 0.7500  4 Rh 2.59
2 Rh 0.0000 0.0000 0.0000  8 Mn 2.59
3 Mn 0.2500 0.2500 0.2500  4 Rh 2.59

=====

DFT (PBE) results for a geometry-optimized MnRh2 structure.

## Properties
Total moment ... 7.876 μB per cell
Total energy ... -8.01 eV per atom
Excess energy over the best structure of this formula in the dataset ... 0.16 eV/f.u.
Formation energy from the elements ... -0.055 eV/atom
Mass density ... 10.4 g/cm³

Cell lengths 7.2186, 7.2186, 2.7559 Å; angles 90.00, 90.00, 120.00 degrees
Last column: nearest neighbours and their distance in Å.
Atoms (fractional coordinates):
1 Rh 0.0000 0.2947 0.0000  4 Mn 2.53-2.56, 8 Rh 2.76-2.81
2 Rh 0.7053 0.7053 0.0000  4 Mn 2.53-2.56, 8 Rh 2.76-2.81
3 Rh 0.2947 0.0000 0.0000  4 Mn 2.53-2.56, 8 Rh 2.76-2.81
4 Rh 0.6333 0.0000 0.5000  5 Mn 2.65-2.68, 8 Rh 2.76-2.81
5 Mn 0.3333 0.6667 0.0000  9 Rh 2.56-2.68, 2 Mn 2.76
6 Mn 0.6667 0.3333 0.0000  9 Rh 2.56-2.68, 2 Mn 2.76
7 Rh 0.0000 0.6333 0.5000  5 Mn 2.65-2.68, 8 Rh 2.76-2.81
8 Rh 0.3667 0.3667 0.5000  5 Mn 2.65-2.68, 8 Rh 2.76-2.81
9 Mn 0.0000 0.0000 0.5000  9 Rh 2.53-2.65, 2 Mn 2.76

=====

DFT (PBE) results for a geometry-optimized Mn5Rh4 structure.

## Properties
Total moment ... 10.351 μB per cell
Total energy ... -8.45 eV per atom
Excess energy over the best structure of this formula in the dataset ... 0.00 eV/f.u.
Formation energy from the elements ... -0.084 eV/atom
Mass density ... 9.3 g/cm³

Cell lengths 6.0337, 6.0337, 6.0337 Å; angles 95.46, 95.46, 144.08 degrees
Last column: nearest neighbours and their distance in Å.
Atoms (fractional coordinates):
1 Mn 0.3359 0.3359 0.6718  6 Rh 2.63-2.73, 6 Mn 2.65-2.71
2 Mn 0.6641 0.6641 0.3282  6 Rh 2.63-2.73, 6 Mn 2.65-2.71
3 Rh 0.6754 0.0000 0.6754  7 Mn 2.63-2.73, 5 Rh 2.74-2.85
4 Mn 0.0000 0.0000 0.0000  4 Rh 2.63, 8 Mn 2.65
5 Mn 0.6641 0.3359 0.0000  6 Rh 2.63-2.73, 6 Mn 2.65-2.71
6 Rh 0.0000 0.3246 0.3246  7 Mn 2.63-2.73, 5 Rh 2.74-2.85
7 Rh 0.3246 0.0000 0.3246  7 Mn 2.63-2.73, 5 Rh 2.74-2.85
8 Rh 0.0000 0.6754 0.6754  7 Mn 2.63-2.73, 5 Rh 2.74-2.85
9 Mn 0.3359 0.6641 0.0000  6 Rh 2.63-2.73, 6 Mn 2.65-2.71

=====

DFT (PBE) results for a geometry-optimized Mn2Rh structure.

## Properties
Total moment ... 3.263 μB per cell
Total energy ... -8.57 eV per atom
Formation energy from the elements ... -0.004 eV/atom
Mass density ... 9.6 g/cm³

Cell lengths 4.7100, 4.7100, 7.6634 Å; angles 90.00, 90.00, 120.00 degrees
Last column: nearest neighbours and their distance in Å.
Atoms (fractional coordinates):
1 Mn 0.1733 0.8267 0.7500  6 Mn 2.26-2.45
2 Mn 0.0000 0.0000 0.0000  6 Mn 2.38
3 Mn 0.8267 0.1733 0.2500  6 Mn 2.26-2.45
4 Rh 0.6667 0.3333 0.9312  12 Mn 2.73-2.77, 4 Rh 2.78-2.92
5 Mn 0.1733 0.3466 0.7500  6 Mn 2.26-2.45
6 Mn 0.6534 0.8267 0.7500  6 Mn 2.26-2.45
7 Rh 0.3333 0.6667 0.4312  12 Mn 2.73-2.77, 4 Rh 2.78-2.92
8 Rh 0.6667 0.3333 0.5688  12 Mn 2.73-2.77, 4 Rh 2.78-2.92
9 Mn 0.8267 0.6534 0.2500  6 Mn 2.26-2.45
10 Mn 0.3466 0.1733 0.2500  6 Mn 2.26-2.45
11 Rh 0.3333 0.6667 0.0688  12 Mn 2.73-2.77, 4 Rh 2.78-2.92
12 Mn 0.0000 0.0000 0.5000  6 Mn 2.38

=====

DFT (PBE) results for a geometry-optimized MnRh structure.

## Properties
Total moment ... 7.691 μB per cell
Total energy ... -8.29 eV per atom
Formation energy from the elements ... -0.030 eV/atom
Mass density ... 9.4 g/cm³

Cell lengths 5.0963, 5.0963, 5.0963 Å; angles 145.35, 131.19, 61.23 degrees
Last column: nearest neighbours and their distance in Å.
Atoms (fractional coordinates):
1 Mn 0.2521 0.7521 0.5000  6 Rh 2.60-2.62, 2 Mn 2.70
2 Mn 0.9979 0.9979 0.0000  6 Rh 2.60-2.62, 2 Mn 2.70
3 Rh 0.4949 0.4949 0.0000  6 Mn 2.60-2.62, 2 Rh 2.74
4 Rh 0.7551 0.2551 0.5000  6 Mn 2.60-2.62, 2 Rh 2.74

=====

DFT (PBE) results for a geometry-optimized MnRh structure.

## Properties
Total moment ... 15.258 μB per cell
Total energy ... -7.56 eV per atom
Formation energy from the elements ... 0.697 eV/atom
Mass density ... 6.4 g/cm³

Cell lengths 7.7633, 7.7633, 2.7174 Å; angles 90.00, 90.00, 90.00 degrees
Last column: nearest neighbours and their distance in Å.
Atoms (fractional coordinates):
1 Rh 0.3795 0.6205 0.5000  4 Mn 2.46-2.49, 3 Rh 2.64-2.72
2 Rh 0.6205 0.3795 0.5000  4 Mn 2.46-2.49, 3 Rh 2.64-2.72
3 Mn 0.1926 0.8074 0.0000  4 Rh 2.46-2.49, 2 Mn 2.72
4 Mn 0.3074 0.3074 0.5000  4 Rh 2.46-2.49, 2 Mn 2.72
5 Mn 0.6926 0.6926 0.5000  4 Rh 2.46-2.49, 2 Mn 2.72
6 Rh 0.8795 0.8795 0.0000  4 Mn 2.46-2.49, 3 Rh 2.64-2.72
7 Mn 0.8074 0.1926 0.0000  4 Rh 2.46-2.49, 2 Mn 2.72
8 Rh 0.1205 0.1205 0.0000  4 Mn 2.46-2.49, 3 Rh 2.64-2.72

=====

DFT (PBE) results for a geometry-optimized Mn2Rh structure.

## Properties
Total moment ... 0.987 μB per cell
Total energy ... -8.57 eV per atom
Formation energy from the elements ... -0.005 eV/atom
Mass density ... 9.5 g/cm³

Cell lengths 4.8903, 4.8903, 6.1809 Å; angles 76.72, 76.72, 31.12 degrees
Last column: nearest neighbours and their distance in Å.
Atoms (fractional coordinates):
1 Mn 0.6702 0.6702 0.6558  7 Mn 2.50-2.72, 5 Rh 2.54-2.62
2 Mn 0.6106 0.6106 0.2824  8 Mn 2.50-2.62, 4 Rh 2.56-2.59
3 Rh 0.2725 0.2725 0.9529  8 Mn 2.52-2.62, 4 Rh 2.62-2.73
4 Rh 0.9493 0.9493 0.6041  8 Mn 2.54-2.65, 4 Rh 2.62-2.73
5 Mn 0.3322 0.3322 0.3292  3 Rh 2.52-2.59, 9 Mn 2.54-2.62
6 Mn 0.9985 0.9985 0.0089  4 Rh 2.52-2.65, 8 Mn 2.56-2.72

=====

DFT (PBE) results for a geometry-optimized MnRh structure.

## Properties
Total moment ... 4.070 μB per cell
Total energy ... -8.44 eV per atom
Formation energy from the elements ... -0.178 eV/atom
Mass density ... 9.3 g/cm³

Cell lengths 3.0380, 3.0380, 3.0381 Å; angles 90.00, 90.00, 90.00 degrees
Last column: nearest neighbours and their distance in Å.
Atoms (fractional coordinates):
1 Mn 0.5000 0.5000 0.5000  8 Rh 2.63
2 Rh 0.0000 0.0000 0.0000  8 Mn 2.63

=====

DFT (PBE) results for a geometry-optimized MnRh2 structure.

## Properties
Total moment ... 5.198 μB per cell
Total energy ... -7.90 eV per atom
Excess energy over the best structure of this formula in the dataset ... 0.52 eV/f.u.
Formation energy from the elements ... 0.062 eV/atom
Mass density ... 10.1 g/cm³

Cell lengths 11.4274, 11.4274, 11.4274 Å; angles 166.13, 166.13, 19.67 degrees
Last column: nearest neighbours and their distance in Å.
Atoms (fractional coordinates):
1 Rh 0.3244 0.8244 0.5000  4 Mn 2.57, 6 Rh 2.66-2.76
2 Rh 0.4256 0.4256 0.0000  4 Mn 2.57, 6 Rh 2.66-2.76
3 Mn 0.7500 0.2500 0.5000  8 Rh 2.57, 4 Mn 2.76
4 Rh 0.1756 0.6756 0.5000  4 Mn 2.57, 6 Rh 2.66-2.76
5 Mn 0.0000 0.0000 0.0000  8 Rh 2.57, 4 Mn 2.76
6 Rh 0.5744 0.5744 0.0000  4 Mn 2.57, 6 Rh 2.66-2.76

=====

DFT (PBE) results for a geometry-optimized MnRh2 structure.

## Properties
Total moment ... 4.309 μB per cell
Total energy ... -8.01 eV per atom
Excess energy over the best structure of this formula in the dataset ... 0.17 eV/f.u.
Formation energy from the elements ... -0.053 eV/atom
Mass density ... 10.4 g/cm³

Cell lengths 7.0580, 7.0580, 4.3101 Å; angles 90.00, 90.00, 157.29 degrees
Last column: nearest neighbours and their distance in Å.
Atoms (fractional coordinates):
1 Mn 0.1083 0.8917 0.2500  10 Rh 2.66-2.70, 2 Mn 2.78
2 Rh 0.7745 0.2255 0.2500  8 Rh 2.65-2.78, 4 Mn 2.69-2.70
3 Rh 0.5581 0.4419 0.7500  6 Mn 2.66-2.69, 6 Rh 2.69-2.78
4 Rh 0.4419 0.5581 0.2500  6 Mn 2.66-2.69, 6 Rh 2.69-2.78
5 Mn 0.8917 0.1083 0.7500  10 Rh 2.66-2.70, 2 Mn 2.78
6 Rh 0.2255 0.7745 0.7500  8 Rh 2.65-2.78, 4 Mn 2.69-2.70

=====

DFT (PBE) results for a geometry-optimized MnRh structure.

## Properties
Total moment ... 5.246 μB per cell
Total energy ... -7.96 eV per atom
Formation energy from the elements ... 0.302 eV/atom
Mass density ... 9.5 g/cm³

Cell lengths 8.5235, 8.5235, 2.6177 Å; angles 90.00, 90.00, 120.00 degrees
Last column: nearest neighbours and their distance in Å.
Atoms (fractional coordinates):
1 Mn 0.1557 0.5393 0.7500  4 Mn 2.34-2.62, 4 Rh 2.43-2.59
2 Rh 0.7059 0.9503 0.7500  4 Mn 2.43-2.59, 6 Rh 2.62-2.67
3 Rh 0.7556 0.7059 0.2500  4 Mn 2.43-2.59, 6 Rh 2.62-2.67
4 Mn 0.4607 0.6164 0.7500  4 Mn 2.34-2.62, 4 Rh 2.43-2.59
5 Mn 0.3836 0.8443 0.7500  4 Mn 2.34-2.62, 4 Rh 2.43-2.59
6 Mn 0.8443 0.4607 0.2500  4 Mn 2.34-2.62, 4 Rh 2.43-2.59
7 Rh 0.9503 0.2444 0.2500  4 Mn 2.43-2.59, 6 Rh 2.62-2.67
8 Mn 0.5393 0.3836 0.2500  4 Mn 2.34-2.62, 4 Rh 2.43-2.59
9 Rh 0.0497 0.7556 0.7500  4 Mn 2.43-2.59, 6 Rh 2.62-2.67
10 Mn 0.6164 0.1557 0.2500  4 Mn 2.34-2.62, 4 Rh 2.43-2.59
11 Rh 0.2941 0.0497 0.2500  4 Mn 2.43-2.59, 6 Rh 2.62-2.67
12 Rh 0.2444 0.2941 0.7500  4 Mn 2.43-2.59, 6 Rh 2.62-2.67